1.
Tl2VO4 | PBE with a Hubbard U | optimized geometry

```
7
Lattice="-1.884 1.884 7.365 1.884 -1.884 7.365 1.884 1.884 -7.365" Properties=species:S:1:pos:R:3 pbc="T T T"
Tl 0.000 0.000 2.258
Tl 0.000 0.000 12.473
V 0.000 0.000 7.365
O 1.884 0.000 0.000
O 0.000 0.000 5.427
O 0.000 1.884 0.000
O 0.000 0.000 9.304
```

ΔE to the lowest computed polymorph = 87 meV/atom
Total moment = 0.00 Bohr magnetons per cell
V = 104.6 Å³ per cell

2.
TlVO3 | PBE with a Hubbard U | optimized geometry

```
20
Lattice="5.560 0.000 0.000 0.000 11.093 0.000 0.000 0.000 5.838" Properties=species:S:1:pos:R:3 pbc="T T T"
Tl 0.237 1.132 1.459
Tl 0.237 4.415 4.378
Tl 5.323 6.678 1.459
Tl 5.323 9.962 4.378
V 2.685 7.348 4.378
V 2.685 9.292 1.459
V 2.875 1.801 4.378
V 2.875 3.745 1.459
O 1.008 7.134 4.378
O 1.008 9.506 1.459
O 2.100 0.325 4.378
O 2.100 5.222 1.459
O 2.342 2.773 0.000
O 2.342 2.773 2.919
O 3.218 8.320 0.000
O 3.218 8.320 2.919
O 3.460 5.871 4.378
O 3.460 10.768 1.459
O 4.552 1.587 4.378
O 4.552 3.959 1.459
```

Total moment = 0.00 Bohr magnetons per cell
Electronic total energy = -130.60 eV for the cell shown
V = 360.1 Å³ per cell

3.
TlVO2 | PBE with a Hubbard U | optimized geometry

```
4
Lattice="1.557 0.899 6.777 -1.557 0.899 6.777 0.000 -1.797 6.777" Properties=species:S:1:pos:R:3 pbc="T T T"
Tl 0.000 0.000 0.000
V 0.000 0.000 10.166
O 0.000 0.000 4.409
O 0.000 0.000 15.922
```

ΔE to the lowest computed polymorph = 7 meV/atom
Total moment = 1.77 Bohr magnetons per cell
V = 56.9 Å³ per cell